(1)
This record from the Alexandria database describes crystalline Y2TmInN at its relaxed geometry. The functional is PBE.

a b c (Å): 4.740 4.830 4.830
angles (deg): 90.00 90.00 90.00
Sites, in units of the cell vectors:
Y  0.000  0.000  0.500
Y  0.000  0.500  0.000
Tm  0.500  0.000  0.000
In  0.500  0.500  0.500
N  0.000  0.000  0.000

Properties
Crystal system ... tetragonal

(2)
This record from the Alexandria database describes crystalline AsAu2BrN at its relaxed geometry. The functional is PBE.

a b c (Å): 4.922 5.544 4.922
angles (deg): 90.00 90.00 90.00
Sites, in units of the cell vectors:
As  0.000  0.000  0.000
Au  0.000  0.000  0.500
Au  0.500  0.000  0.000
Br  0.000  0.500  0.000
N  0.500  0.500  0.500

Properties
Crystal system ... tetragonal

(3)
This record from the Alexandria database describes crystalline PrPuMgGe at its relaxed geometry. The functional is PBE.

a b c (Å): 5.253 5.253 5.253
angles (deg): 60.00 60.00 60.00
Sites, in units of the cell vectors:
Pr  0.500  0.500  0.500
Ge  0.250  0.250  0.250
Mg  0.750  0.750  0.750
Pu  0.000  0.000  0.000

Properties
Crystal system ... cubic
E_form ... -0.1987 eV per atom

Taking the records one at a time from the top gives total magnetization values of 0.00, 3.00, 6.45 μB per cell.
Taking the records one at a time from the top gives total DFT energy (no corrections) values of -33.5, -15.3, -26.1 eV per formula unit.